CrAgMo2O8 | GGA+U | optimized geometry

Properties
symmetry = P-3m1
crystal system = trigonal
total DFT energy (no corrections) = -81.6 eV per formula unit

Cell: 5.7660 5.7660 6.4983 Å, 90.00 90.00 120.00°
Positions (direct):
O 0.3333 0.6667 0.0376
Ag 0.0000 0.0000 0.0000
O 0.8393 0.6799 0.3157
O 0.1594 0.8393 0.6843
Cr 0.0000 0.0000 0.5000
Mo 0.3333 0.6667 0.7697
O 0.1607 0.3201 0.6843
O 0.6667 0.3333 0.9624
O 0.3201 0.1594 0.3157
Mo 0.6667 0.3333 0.2303
O 0.6799 0.8406 0.6843
O 0.8406 0.1607 0.3157